# 1
The following is a PBE-GGA calculation of an optimized crystal structure of Pm4HoTm6, from Alexandria.

Energy relative to the lowest polymorph listed for this composition in meV per atom: 0
ΔE_f in eV/atom: 0.30

a = 6.5967 Å, b = 6.5967 Å, c = 16.8845 Å
α = 90.00°, β = 90.00°, γ = 90.00°
Last column: nearest neighbours and their distance in Å.
Space group I-42m (No. 121)
Asymmetric unit:
Pm: 0.1891 0.1891 0.1751 [8 per cell]  5 Tm 3.37-3.58, 1 Ho 3.44, 1 Pm 3.53
Ho: 0.0000 0.0000 0.0000 [2 per cell]  8 Tm 3.30-3.67, 4 Pm 3.44
Tm: 0.0000 0.5000 0.0000 [4 per cell]  4 Tm 3.22, 2 Ho 3.30
Tm: 0.1783 0.1783 0.3747 [8 per cell]  3 Tm 3.22-3.33, 5 Pm 3.37-3.58



# 2
The following is a PBE-GGA calculation of an optimized crystal structure of Pm2Ho2Tm5, from Alexandria.

Energy relative to the lowest polymorph listed for this composition in meV per atom: 0
ΔE_f in eV/atom: 0.02

a = 3.5260 Å, b = 7.9107 Å, c = 10.5646 Å
α = 77.24°, β = 89.94°, γ = 77.17°
Last column: nearest neighbours and their distance in Å.
Space group P-1 (No. 2)
Asymmetric unit:
Pm: 0.1660 0.1687 0.3872 [2 per cell]  6 Tm 3.52-3.56, 4 Pm 3.53-3.57, 2 Ho 3.54
Ho: 0.4994 0.5028 0.1648 [2 per cell]  3 Ho 3.49-3.53, 7 Tm 3.50-3.55, 2 Pm 3.54
Tm: 0.1660 0.1660 0.0543 [2 per cell]  7 Tm 3.48-3.53, 4 Ho 3.51-3.55, 1 Pm 3.52
Tm: 0.1665 0.1676 0.7245 [2 per cell]  7 Tm 3.48-3.55, 2 Ho 3.50-3.51, 3 Pm 3.55-3.56
Tm: 0.5000 0.5000 0.5000 [1 per cell]  4 Pm 3.53, 6 Tm 3.53-3.55, 2 Ho 3.54



# 3
The following is a PBE-GGA calculation of an optimized crystal structure of Pm2Ho3Tm3, from Alexandria.

Energy relative to the lowest polymorph listed for this composition in meV per atom: 0
ΔE_f in eV/atom: 0.03

a = 5.0158 Å, b = 5.0174 Å, c = 19.9834 Å
α = 90.00°, β = 90.00°, γ = 90.00°
Last column: nearest neighbours and their distance in Å.
Space group Immm (No. 71)
Asymmetric unit:
Pm: 0.0000 0.0000 0.2500 [4 per cell]  4 Pm 3.55, 4 Tm 3.57, 4 Ho 3.57
Ho: 0.0000 0.0000 0.0000 [2 per cell]  4 Ho 3.51, 8 Tm 3.51-3.55
Ho: 0.0000 0.5000 0.1229 [4 per cell]  6 Tm 3.51-3.55, 2 Ho 3.51, 4 Pm 3.57
Tm: 0.0000 0.0000 0.5000 [2 per cell]  8 Ho 3.51-3.55, 4 Tm 3.51
Tm: 0.0000 0.5000 0.3770 [4 per cell]  6 Ho 3.51-3.55, 2 Tm 3.51, 4 Pm 3.57



# 4
The following is a PBE-GGA calculation of an optimized crystal structure of Pm2Ho9Tm3, from Alexandria.

ΔE_f in eV/atom: 0.12

a = 6.1564 Å, b = 8.6923 Å, c = 8.7172 Å
α = 79.08°, β = 87.32°, γ = 77.65°
Last column: nearest neighbours and their distance in Å.
Space group P-1 (No. 2)
Asymmetric unit:
Pm: 0.0429 0.2955 0.0298 [2 per cell]  8 Ho 3.38-3.68, 2 Tm 3.42-3.46, 1 Pm 3.42
Ho: 0.0121 0.0818 0.7479 [2 per cell]  3 Ho 3.18-3.45, 2 Pm 3.38-3.55, 1 Tm 3.49
Ho: 0.1527 0.5062 0.3354 [2 per cell]  7 Ho 3.35-3.54, 2 Tm 3.45-3.53, 2 Pm 3.46-3.67
Ho: 0.3126 0.1026 0.3827 [2 per cell]  3 Ho 3.16-3.39, 2 Tm 3.37-3.44, 1 Pm 3.52
Ho: 0.4131 0.3042 0.6862 [2 per cell]  3 Tm 3.33-3.52, 7 Ho 3.41-3.72, 1 Pm 3.68
Ho: 0.5000 0.5000 0.0000 [1 per cell]  4 Pm 3.43-3.61, 4 Ho 3.54-3.60, 2 Tm 3.75
Tm: 0.2455 0.7251 0.6189 [2 per cell]  9 Ho 3.33-3.62, 1 Pm 3.46
Tm: 0.5000 0.0000 0.0000 [1 per cell]  6 Ho 3.40-3.69, 2 Pm 3.42



One value per record, in order, for raw total energy: -0.15742 -0.16663 -0.16743 -0.16377 hartree per atom.